No. 1
## MoPt2 (PBE-GGA)

Data for a relaxed structure of MoPt2.

Structure (POSCAR):
```
MoPt2
1.0
2.775 0.000 0.000
0.000 3.970 0.000
0.000 0.000 8.355
Mo Pt
2 4
Cartesian
1.388 1.985 4.180
0.000 0.000 8.354
1.388 1.985 1.363
0.000 0.000 2.817
0.000 0.000 5.541
1.388 1.985 6.986
```

Output
symmetry	Pmmn, No. 59
E_form	-0.366	eV per atom
M_tot	0.006	μB per formula unit
total energy	-8.0188	eV per atom


No. 2
## InFeReW (PBE-GGA)

Data for a relaxed structure of InFeReW.

Structure (POSCAR):
```
InFeReW
1.0
-0.548 0.686 4.337
-2.643 -2.664 2.345
1.741 -2.828 2.925
Fe In Re W
1 1 1 1
Cartesian
-1.087 -3.604 7.205
0.000 0.000 0.000
-0.362 -1.201 2.402
-0.725 -2.403 4.804
```

Output
symmetry	F-43m, No. 216
M_tot	0.003	μB per formula unit
total energy	-8.7415	eV per atom


No. 3
## Ta9Co4 (PBE-GGA)

Data for a relaxed structure of Ta9Co4.

Structure (POSCAR):
```
Ta9Co4
1.0
2.611 1.508 9.279
-2.611 1.508 9.279
0.000 -3.015 9.279
Co Ta
4 9
Cartesian
0.000 0.000 9.745
0.000 0.000 12.727
0.000 0.000 15.111
0.000 0.000 18.093
0.000 0.000 0.000
-1.294 0.747 7.113
1.294 0.747 7.113
0.000 0.000 4.667
0.000 1.494 20.725
0.000 -1.494 7.113
0.000 0.000 23.172
-1.294 -0.747 20.725
1.294 -0.747 20.725
```

Output
symmetry	R-3m, No. 166
E_form	0.563	eV per atom
M_tot	0.057	μB per formula unit
total energy	-9.8288	eV per atom


No. 4
## Hf2Zr2Hg (PBE-GGA)

Data for a relaxed structure of Hf2Zr2Hg.

Structure (POSCAR):
```
Hf2Zr2Hg
1.0
-2.079 2.079 6.706
2.079 -2.079 6.706
2.079 2.079 -6.706
Hf Hg Zr
2 1 2
Cartesian
0.000 2.079 3.353
2.079 0.000 3.353
0.000 0.000 0.000
0.000 0.000 5.475
0.000 0.000 7.938
```

Output
symmetry	I4/mmm, No. 139
E_form	0.517	eV per atom
M_tot	0.002	μB per formula unit
total energy	-6.9435	eV per atom


No. 5
## AcAgPO (PBE-GGA)

Data for a relaxed structure of AcAgPO.

Structure (POSCAR):
```
AcAgPO
1.0
4.071 0.000 0.000
0.000 7.752 0.000
0.000 0.000 6.174
Ac Ag O P
2 2 2 2
Cartesian
0.000 1.864 2.742
0.000 5.888 5.829
2.036 5.169 2.789
2.036 2.583 5.876
2.036 2.926 2.561
2.036 4.825 5.648
0.000 6.543 2.737
0.000 1.209 5.824
```

Output
symmetry	Pmc2_1, No. 26
M_tot	0.001	μB per formula unit
total energy	-5.5269	eV per atom


No. 6
## Fe9Cu9S16 (PBE-GGA)

Data for a relaxed structure of Fe9Cu9S16.

Structure (POSCAR):
```
Fe9Cu9S16
1.0
-5.134 -0.948 -9.094
8.541 -4.221 -4.382
-1.652 -4.835 1.437
Cu Fe S
9 9 16
Cartesian
-1.325 -0.244 -2.347
-3.809 -0.703 -6.748
2.204 -1.089 -1.131
6.337 -3.132 -3.251
0.044 -3.659 -2.670
1.746 -6.240 -9.401
0.877 -5.002 -6.020
-2.556 -4.237 -7.181
4.274 -5.872 -4.827
0.000 0.000 0.000
-0.450 -1.520 -5.633
2.998 -2.345 -4.445
1.703 -2.584 -6.738
0.409 -2.823 -9.030
3.856 -3.648 -7.842
-0.826 -2.418 0.718
-3.393 -2.891 -3.829
3.444 -4.528 -1.472
-0.396 -3.288 -6.998
3.040 -4.111 -5.814
-1.283 -2.121 -3.630
2.163 -2.946 -2.443
0.404 -4.680 -10.302
3.850 -5.505 -9.115
-3.863 -2.582 -8.146
6.429 -5.046 -4.599
-0.811 -4.245 -0.595
1.753 -8.135 -10.738
-3.344 -4.729 -5.135
-2.485 -6.031 -8.531
3.427 -6.350 -2.802
4.285 -7.652 -6.197
0.004 -5.655 -3.940
0.860 -6.953 -7.326
```

Output
symmetry	P-42m, No. 111
M_tot	23.500	μB per formula unit
total energy	-5.4074	eV per atom


No. 7
## Ba3Er2O6 (PBE-GGA)

Data for a relaxed structure of Ba3Er2O6.

Structure (POSCAR):
```
Ba3Er2O6
1.0
-2.155 2.155 10.779
2.155 -2.155 10.779
2.155 2.155 -10.779
Ba Er O
3 2 6
Cartesian
0.000 0.000 6.844
0.000 0.000 10.779
0.000 0.000 14.714
0.000 0.000 2.189
0.000 0.000 19.369
0.000 0.000 4.290
0.000 0.000 17.268
0.000 2.155 1.783
0.000 2.155 8.996
2.155 0.000 1.783
2.155 0.000 8.996
```

Output
symmetry	I4/mmm, No. 139
M_tot	0.007	μB per formula unit
total energy	-7.0409	eV per atom


No. 8
## NiBi2Pd (PBE-GGA)

Data for a relaxed structure of NiBi2Pd.

Structure (POSCAR):
```
NiBi2Pd
1.0
2.478 1.431 4.047
-2.478 1.431 4.047
0.000 -2.861 4.047
Bi Ni Pd
2 1 1
Cartesian
0.000 0.000 0.000
0.000 0.000 9.105
0.000 0.000 3.035
0.000 0.000 6.070
```

Output
symmetry	F-43m, No. 216
M_tot	0.334	μB per formula unit
total energy	-4.3371	eV per atom


No. 9
## RbPAu2 (PBE-GGA)

Data for a relaxed structure of RbPAu2.

Structure (POSCAR):
```
RbPAu2
1.0
-3.040 3.040 7.206
3.040 -3.040 7.206
3.040 3.040 -7.206
Au P Rb
4 2 2
Cartesian
-0.014 1.520 1.801
-1.520 3.054 5.404
1.520 3.027 5.404
0.014 4.560 1.801
0.000 0.000 0.000
0.000 3.040 3.603
0.000 0.000 7.206
3.040 0.000 3.603
```

Output
symmetry	I-42d, No. 122
total energy	-3.6490	eV per atom


No. 10
## AlZnCdAu (PBE-GGA)

Data for a relaxed structure of AlZnCdAu.

Structure (POSCAR):
```
AlZnCdAu
1.0
-2.024 -0.336 4.204
0.155 3.614 2.966
-3.886 2.434 0.926
Al Au Cd Zn
1 1 1 1
Cartesian
-2.877 2.856 4.048
-4.316 4.284 6.072
0.000 0.000 0.000
-1.439 1.428 2.024
```

Output
symmetry	F-43m, No. 216
total energy	-2.2946	eV per atom


No. 11
## In2Os2O5 (PBE-GGA)

Data for a relaxed structure of In2Os2O5.

Structure (POSCAR):
```
In2Os2O5
1.0
-8.487 -3.575 1.303
1.247 -2.002 2.625
-0.728 2.570 2.306
In O Os
2 5 2
Cartesian
-1.976 -0.658 2.809
-5.992 -2.349 3.426
-0.442 -1.450 1.476
-6.798 -4.127 2.452
-1.429 0.836 1.317
-7.785 -1.841 2.293
-3.984 -1.504 3.117
0.000 0.000 0.000
-4.243 -1.787 0.652
```

Output
symmetry	P4/mmm, No. 123
M_tot	1.698	μB per formula unit
total energy	-6.1598	eV per atom


No. 12
## SmScCuS3 (PBE-GGA)

Data for a relaxed structure of SmScCuS3.

Structure (POSCAR):
```
SmScCuS3
1.0
-5.585 1.826 2.861
3.120 -4.590 -3.450
2.803 -4.242 8.179
Cu S Sc Sm
2 6 2 2
Cartesian
3.643 -5.520 -1.276
-3.305 -1.487 8.866
2.095 -3.977 -2.038
0.252 -3.020 1.182
3.129 -5.543 0.980
-2.791 -1.464 6.610
0.086 -3.987 6.408
-1.757 -3.030 9.628
-1.232 -1.382 -0.295
0.169 -3.503 3.795
-2.581 -0.933 3.235
2.918 -6.074 4.355
```

Output
symmetry	Cmcm, No. 63
M_tot	0.013	μB per formula unit
total energy	-6.0425	eV per atom


No. 13
## BaZrBePt (PBE-GGA)

Data for a relaxed structure of BaZrBePt.

Structure (POSCAR):
```
BaZrBePt
1.0
3.765 -1.785 2.514
0.818 1.506 4.554
-0.781 -3.017 3.738
Ba Be Pt Zr
1 1 1 1
Cartesian
0.951 -0.824 2.702
2.852 -2.471 8.105
1.902 -1.647 5.403
0.000 0.000 0.000
```

Output
symmetry	F-43m, No. 216
M_tot	0.000	μB per formula unit
total energy	-4.6278	eV per atom


No. 14
## NdGeMo (PBE-GGA)

Data for a relaxed structure of NdGeMo.

Structure (POSCAR):
```
NdGeMo
1.0
-2.357 -3.288 -2.243
-4.626 0.033 0.042
-2.341 1.050 -3.850
Ge Mo Nd
1 1 1
Cartesian
0.000 0.000 0.000
-2.331 -0.551 -1.513
-6.993 -1.654 -4.538
```

Output
symmetry	F-43m, No. 216
M_tot	0.442	μB per formula unit
total energy	-6.5185	eV per atom


No. 15
## Gd2NiAu (PBE-GGA)

Data for a relaxed structure of Gd2NiAu.

Structure (POSCAR):
```
Gd2NiAu
1.0
-0.253 3.753 4.065
-3.913 -1.792 1.411
3.639 -4.626 4.218
Au Gd Ni
2 4 2
Cartesian
-1.032 2.511 3.963
0.505 -5.177 5.731
-0.318 -0.057 2.679
-1.946 0.332 5.930
1.419 -2.998 3.764
-0.208 -2.609 7.015
-1.339 -2.115 4.505
0.812 -0.551 5.189
```

Output
symmetry	P2_1/m, No. 11
E_form	-0.635	eV per atom
M_tot	0.001	μB per formula unit
total energy	-5.1703	eV per atom


No. 16
## K2ReCl6 (PBE-GGA)

Data for a relaxed structure of K2ReCl6.

Structure (POSCAR):
```
K2ReCl6
1.0
-3.242 -4.209 -4.384
3.891 -5.254 2.167
-6.954 -2.170 7.226
Cl K Re
12 4 2
Cartesian
-1.560 -4.065 -2.722
0.452 -2.311 -0.258
0.196 -7.152 -1.958
2.209 -5.398 0.505
-1.612 -0.503 1.675
-1.540 -5.313 0.829
-4.889 -5.172 1.027
-3.011 -3.592 3.309
-3.294 -8.040 1.701
-1.416 -6.461 3.982
-4.765 -6.319 4.180
-5.342 -1.667 5.551
-3.359 -2.647 -0.385
0.207 -3.169 2.890
-6.836 -3.732 3.228
-3.270 -4.254 6.503
0.000 0.000 0.000
-3.152 -5.816 2.505
```

Output
symmetry	P4/mnc, No. 128
M_tot	2.991	μB per formula unit
total energy	-4.1270	eV per atom


No. 17
## NdZrMo2C3 (PBE-GGA)

Data for a relaxed structure of NdZrMo2C3.

Structure (POSCAR):
```
NdZrMo2C3
1.0
5.677 -1.675 0.000
5.677 1.675 0.000
-1.735 0.000 5.408
C Mo Nd Zr
3 2 1 1
Cartesian
2.701 0.000 1.381
7.074 0.000 4.110
9.596 0.000 5.275
9.429 0.000 0.698
0.203 0.000 4.730
6.353 0.000 1.751
3.120 0.000 3.687
```

Output
symmetry	Cm, No. 8
M_tot	0.011	μB per formula unit
total energy	-9.2174	eV per atom


No. 18
## HoICl2 (PBE-GGA)

Data for a relaxed structure of HoICl2.

Structure (POSCAR):
```
HoICl2
1.0
3.447 -6.433 0.000
3.447 6.433 0.000
-2.066 0.000 6.845
Cl Ho I
4 2 2
Cartesian
4.713 -2.447 1.472
4.713 2.447 1.472
0.115 -2.447 5.374
0.115 2.447 5.374
3.447 -4.230 0.000
3.447 4.230 0.000
1.030 0.000 1.803
3.797 0.000 5.043
```

Output
symmetry	C2/m, No. 12
M_tot	0.001	μB per formula unit
total energy	-4.4445	eV per atom


No. 19
## DySbN2O (PBE-GGA)

Data for a relaxed structure of DySbN2O.

Structure (POSCAR):
```
DySbN2O
1.0
6.469 0.000 0.000
-3.235 5.602 0.000
0.000 0.000 11.984
Dy N O Sb
6 12 6 6
Cartesian
3.235 1.867 2.858
0.000 3.735 2.858
0.000 0.000 3.199
3.235 1.867 8.849
0.000 3.735 8.849
0.000 0.000 9.191
2.020 0.000 1.948
-1.010 1.750 1.948
2.224 3.853 1.948
4.171 0.000 4.077
1.149 1.990 4.077
-2.085 3.612 4.077
4.449 0.000 7.939
1.010 1.750 7.939
-2.224 3.853 7.939
2.298 0.000 10.068
-1.149 1.990 10.068
2.085 3.612 10.068
3.235 1.867 0.259
0.000 3.735 0.259
0.000 0.000 5.703
3.235 1.867 6.251
0.000 3.735 6.251
0.000 0.000 11.695
2.158 0.000 0.012
-1.079 1.869 0.012
2.155 3.733 0.012
4.311 0.000 6.004
1.079 1.869 6.004
-2.155 3.733 6.004
```

Output
symmetry	P6_3cm, No. 185
M_tot	0.002	μB per formula unit
total energy	-6.8932	eV per atom


No. 20
## CoCuSiMo (PBE-GGA)

Data for a relaxed structure of CoCuSiMo.

Structure (POSCAR):
```
CoCuSiMo
1.0
-1.934 0.785 3.581
-4.037 0.938 0.012
-2.752 -2.709 1.506
Co Cu Mo Si
1 1 1 1
Cartesian
-4.362 -0.493 2.550
-6.543 -0.739 3.825
-2.181 -0.246 1.275
0.000 0.000 0.000
```

Output
symmetry	F-43m, No. 216
M_tot	1.037	μB per formula unit
total energy	-6.7611	eV per atom